DFT (PBEsol) results for an optimized crystal structure of BaB8O13.

Values from the calculation:
The space group is P4_122 (91).

POSCAR file:
```
BaB8O13
1.0
8.683 0.000 0.000
0.000 8.683 0.000
0.000 0.000 13.173
Ba B O
4 32 52
Direct
0.000 0.460 0.000
0.000 0.540 0.500
0.460 0.000 0.750
0.540 0.000 0.250
0.072 0.217 0.748
0.072 0.783 0.752
0.130 0.130 0.375
0.130 0.870 0.125
0.192 0.260 0.214
0.192 0.740 0.286
0.217 0.072 0.002
0.217 0.928 0.498
0.260 0.192 0.536
0.260 0.808 0.964
0.282 0.282 0.875
0.282 0.718 0.625
0.366 0.442 0.612
0.366 0.558 0.888
0.442 0.366 0.138
0.442 0.634 0.362
0.558 0.366 0.862
0.558 0.634 0.638
0.634 0.442 0.388
0.634 0.558 0.112
0.718 0.282 0.125
0.718 0.718 0.375
0.740 0.192 0.464
0.740 0.808 0.036
0.783 0.072 0.998
0.783 0.928 0.502
0.808 0.260 0.786
0.808 0.740 0.714
0.870 0.130 0.625
0.870 0.870 0.875
0.928 0.217 0.252
0.928 0.783 0.248
0.030 0.151 0.659
0.030 0.849 0.841
0.038 0.297 0.195
0.038 0.703 0.305
0.151 0.030 0.091
0.151 0.970 0.409
0.167 0.239 0.459
0.167 0.761 0.041
0.210 0.220 0.967
0.210 0.780 0.533
0.220 0.210 0.783
0.220 0.790 0.717
0.239 0.167 0.291
0.239 0.833 0.209
0.252 0.451 0.880
0.252 0.549 0.620
0.290 0.342 0.153
0.290 0.658 0.347
0.297 0.038 0.555
0.297 0.962 0.945
0.342 0.290 0.597
0.342 0.710 0.903
0.451 0.252 0.870
0.451 0.748 0.630
0.481 0.481 0.375
0.481 0.519 0.125
0.519 0.481 0.625
0.519 0.519 0.875
0.549 0.252 0.130
0.549 0.748 0.370
0.658 0.290 0.403
0.658 0.710 0.097
0.703 0.038 0.445
0.703 0.962 0.055
0.710 0.342 0.847
0.710 0.658 0.653
0.748 0.451 0.120
0.748 0.549 0.380
0.761 0.167 0.709
0.761 0.833 0.791
0.780 0.210 0.217
0.780 0.790 0.283
0.790 0.220 0.033
0.790 0.780 0.467
0.833 0.239 0.541
0.833 0.761 0.959
0.849 0.030 0.909
0.849 0.970 0.591
0.962 0.297 0.805
0.962 0.703 0.695
0.970 0.151 0.341
0.970 0.849 0.159
```

DFT (PBEsol) results for an optimized crystal structure of Ba2B6PbO12.

Values from the calculation:
The space group is R-3c (167).

POSCAR file:
```
Ba2B6PbO12
1.0
3.607 2.083 12.412
-3.607 2.083 12.412
0.000 -4.165 12.412
Ba B Pb O
4 12 2 24
Direct
0.149 0.149 0.149
0.351 0.351 0.351
0.649 0.649 0.649
0.851 0.851 0.851
0.000 0.254 0.865
0.000 0.746 0.135
0.135 0.000 0.746
0.246 0.500 0.635
0.254 0.865 0.000
0.365 0.754 0.500
0.500 0.365 0.754
0.500 0.635 0.246
0.635 0.246 0.500
0.746 0.135 0.000
0.754 0.500 0.365
0.865 0.000 0.254
0.250 0.250 0.250
0.750 0.750 0.750
0.033 0.550 0.304
0.050 0.533 0.804
0.079 0.833 0.211
0.167 0.789 0.921
0.196 0.950 0.467
0.211 0.079 0.833
0.289 0.667 0.421
0.304 0.033 0.550
0.333 0.579 0.711
0.421 0.289 0.667
0.450 0.696 0.967
0.467 0.196 0.950
0.533 0.804 0.050
0.550 0.304 0.033
0.579 0.711 0.333
0.667 0.421 0.289
0.696 0.967 0.450
0.711 0.333 0.579
0.789 0.921 0.167
0.804 0.050 0.533
0.833 0.211 0.079
0.921 0.167 0.789
0.950 0.467 0.196
0.967 0.450 0.696
```

DFT (PBEsol) results for an optimized crystal structure of Ba3PrB9O18.

Values from the calculation:
The space group is P6_3/m (176).

POSCAR file:
```
Ba3PrB9O18
1.0
7.238 0.000 0.000
-3.619 6.269 0.000
0.000 0.000 17.177
Ba Pr B O
6 2 18 36
Direct
0.000 0.000 0.250
0.000 0.000 0.750
0.333 0.667 0.133
0.333 0.667 0.367
0.667 0.333 0.633
0.667 0.333 0.867
0.000 0.000 0.000
0.000 0.000 0.500
0.117 0.622 0.750
0.160 0.452 0.587
0.160 0.452 0.913
0.292 0.840 0.587
0.292 0.840 0.913
0.378 0.495 0.750
0.452 0.292 0.087
0.452 0.292 0.413
0.495 0.117 0.250
0.505 0.883 0.750
0.548 0.708 0.587
0.548 0.708 0.913
0.622 0.505 0.250
0.708 0.160 0.087
0.708 0.160 0.413
0.840 0.548 0.087
0.840 0.548 0.413
0.883 0.378 0.250
0.004 0.747 0.087
0.004 0.747 0.413
0.082 0.413 0.250
0.125 0.626 0.585
0.125 0.626 0.915
0.167 0.458 0.750
0.253 0.258 0.087
0.253 0.258 0.413
0.258 0.004 0.587
0.258 0.004 0.913
0.291 0.833 0.750
0.331 0.918 0.250
0.374 0.499 0.585
0.374 0.499 0.915
0.413 0.331 0.750
0.458 0.291 0.250
0.499 0.125 0.085
0.499 0.125 0.415
0.501 0.875 0.585
0.501 0.875 0.915
0.542 0.709 0.750
0.587 0.669 0.250
0.626 0.501 0.085
0.626 0.501 0.415
0.669 0.082 0.750
0.709 0.167 0.250
0.742 0.996 0.087
0.742 0.996 0.413
0.747 0.742 0.587
0.747 0.742 0.913
0.833 0.542 0.250
0.875 0.374 0.085
0.875 0.374 0.415
0.918 0.587 0.750
0.996 0.253 0.587
0.996 0.253 0.913
```

DFT (PBEsol) results for an optimized crystal structure of BaB2S3O13.

Values from the calculation:
The space group is Pnma (62).

POSCAR file:
```
BaB2S3O13
1.0
17.275 0.000 0.000
0.000 12.517 0.000
0.000 0.000 4.442
Ba B S O
4 8 12 52
Direct
0.217 0.250 0.025
0.283 0.750 0.525
0.717 0.250 0.475
0.783 0.750 0.975
0.082 0.650 0.562
0.082 0.850 0.562
0.418 0.150 0.062
0.418 0.350 0.062
0.582 0.650 0.938
0.582 0.850 0.938
0.918 0.150 0.438
0.918 0.350 0.438
0.045 0.250 0.637
0.151 0.564 0.056
0.151 0.936 0.056
0.349 0.064 0.556
0.349 0.436 0.556
0.455 0.750 0.137
0.545 0.250 0.863
0.651 0.564 0.444
0.651 0.936 0.444
0.849 0.064 0.944
0.849 0.436 0.944
0.955 0.750 0.363
0.001 0.152 0.520
0.001 0.348 0.520
0.048 0.250 0.960
0.081 0.606 0.878
0.081 0.894 0.878
0.120 0.750 0.531
0.122 0.250 0.505
0.122 0.565 0.382
0.122 0.935 0.382
0.167 0.046 0.982
0.167 0.454 0.982
0.216 0.637 0.023
0.216 0.863 0.023
0.284 0.137 0.523
0.284 0.363 0.523
0.333 0.546 0.482
0.333 0.954 0.482
0.378 0.065 0.882
0.378 0.435 0.882
0.378 0.750 0.005
0.380 0.250 0.031
0.419 0.106 0.378
0.419 0.394 0.378
0.452 0.750 0.460
0.499 0.652 0.020
0.499 0.848 0.020
0.501 0.152 0.980
0.501 0.348 0.980
0.548 0.250 0.540
0.581 0.606 0.622
0.581 0.894 0.622
0.620 0.750 0.969
0.622 0.250 0.995
0.622 0.565 0.118
0.622 0.935 0.118
0.667 0.046 0.518
0.667 0.454 0.518
0.716 0.637 0.477
0.716 0.863 0.477
0.784 0.137 0.977
0.784 0.363 0.977
0.833 0.546 0.018
0.833 0.954 0.018
0.878 0.065 0.618
0.878 0.435 0.618
0.878 0.750 0.495
0.880 0.250 0.469
0.919 0.106 0.122
0.919 0.394 0.122
0.952 0.750 0.040
0.999 0.652 0.480
0.999 0.848 0.480
```

DFT (PBEsol) results for an optimized crystal structure of BaB4Sb2O12.

Values from the calculation:
The space group is C2/c (15).

POSCAR file:
```
BaB4Sb2O12
1.0
3.492 -5.931 0.000
3.492 5.931 0.000
-2.408 0.000 10.891
Ba B Sb O
2 8 4 24
Direct
0.034 0.966 0.750
0.966 0.034 0.250
0.180 0.523 0.880
0.355 0.409 0.608
0.409 0.355 0.108
0.477 0.820 0.620
0.523 0.180 0.380
0.591 0.645 0.892
0.645 0.591 0.392
0.820 0.477 0.120
0.000 0.500 0.500
0.307 0.693 0.250
0.500 0.000 0.000
0.693 0.307 0.750
0.028 0.668 0.158
0.121 0.483 0.350
0.129 0.318 0.562
0.208 0.732 0.914
0.258 0.412 0.146
0.268 0.792 0.586
0.318 0.129 0.062
0.332 0.972 0.342
0.362 0.485 0.877
0.412 0.258 0.646
0.483 0.121 0.850
0.485 0.362 0.377
0.515 0.638 0.623
0.517 0.879 0.150
0.588 0.742 0.354
0.638 0.515 0.123
0.668 0.028 0.658
0.682 0.871 0.938
0.732 0.208 0.414
0.742 0.588 0.854
0.792 0.268 0.086
0.871 0.682 0.438
0.879 0.517 0.650
0.972 0.332 0.842
```

DFT (PBEsol) results for an optimized crystal structure of Ba2Sc2B4O11.

Values from the calculation:
The space group is C2/c (15).

POSCAR file:
```
Ba2Sc2B4O11
1.0
8.021 -4.674 0.000
8.021 4.674 0.000
-1.158 0.000 6.208
Ba Sc B O
4 4 8 22
Direct
0.029 0.696 0.576
0.304 0.971 0.924
0.696 0.029 0.076
0.971 0.304 0.424
0.000 0.500 0.000
0.500 0.000 0.500
0.500 0.500 0.000
0.500 0.500 0.500
0.118 0.780 0.087
0.220 0.882 0.413
0.329 0.331 0.745
0.331 0.329 0.245
0.669 0.671 0.755
0.671 0.669 0.255
0.780 0.118 0.587
0.882 0.220 0.913
0.004 0.263 0.981
0.082 0.918 0.250
0.162 0.404 0.762
0.166 0.432 0.270
0.263 0.004 0.481
0.265 0.714 0.002
0.286 0.735 0.498
0.397 0.428 0.703
0.404 0.162 0.262
0.428 0.397 0.203
0.432 0.166 0.770
0.568 0.834 0.230
0.572 0.603 0.797
0.596 0.838 0.738
0.603 0.572 0.297
0.714 0.265 0.502
0.735 0.286 0.998
0.737 0.996 0.519
0.834 0.568 0.730
0.838 0.596 0.238
0.918 0.082 0.750
0.996 0.737 0.019
```

DFT (PBEsol) results for an optimized crystal structure of Ba3Si2B6O16.

Values from the calculation:
The space group is P-1 (2).

POSCAR file:
```
Ba3Si2B6O16
1.0
5.035 0.000 0.000
0.327 7.548 0.000
1.828 1.812 8.145
Ba Si B O
3 2 6 16
Direct
0.000 0.000 0.000
0.120 0.581 0.735
0.880 0.419 0.265
0.261 0.174 0.559
0.739 0.826 0.441
0.314 0.757 0.297
0.468 0.306 0.974
0.478 0.091 0.252
0.522 0.909 0.748
0.532 0.694 0.026
0.686 0.243 0.703
0.025 0.723 0.388
0.197 0.325 0.994
0.279 0.971 0.674
0.281 0.177 0.365
0.357 0.634 0.180
0.365 0.943 0.204
0.404 0.772 0.897
0.492 0.705 0.419
0.508 0.295 0.581
0.596 0.228 0.103
0.635 0.057 0.796
0.643 0.366 0.820
0.719 0.823 0.635
0.721 0.029 0.326
0.803 0.675 0.006
0.975 0.277 0.612
```

no.,calculated total energy (eV/atom),formation energy (no corrections) (eV per atom),density (g/cm3)
1,-8.30,-2.544,2.89
2,-7.90,-2.497,4.39
3,-8.17,-2.707,4.00
4,-7.03,-1.895,3.20
5,-7.57,-2.189,4.54
6,-8.37,-2.933,4.17
7,-8.12,-2.781,4.23